# 1
The following is a DFT calculation (PBE-GGA) of a relaxed structure of Ba2ErThAs4.

For the energy relative to the elements, the calculation gives -9.717 eV per formula unit. As for the total energy: -5.518 eV/atom. Its total moment is 0.0 μB/f.u.

It has space group P2/m (No. 10), with a = 7.551 Å, b = 4.407 Å, c = 7.936 Å, α = 90.00°, β = 108.76° and γ = 90.00°. The inequivalent atoms are Ba at (0.000, 0.000, 0.000), Ba at (0.500, 0.500, 0.000), Er at (0.000, 0.500, 0.500), Th at (0.500, 0.000, 0.500), As at (0.232, 0.000, 0.709) and As at (0.259, 0.500, 0.289).



# 2
The following is a DFT calculation (PBE-GGA) of a relaxed structure of Ba2EuAs.

For the energy relative to the elements, the calculation gives -2.097 eV per formula unit. As for the total energy: -5.217 eV/atom. The relative energy among the computed polymorphs is 0 meV/atom. Its total moment is 8.3 μB/f.u.

It has space group P4/mmm (No. 123), with a = 4.118 Å, b = 4.118 Å, c = 10.619 Å, α = 90.00°, β = 90.00° and γ = 90.00°. The inequivalent atoms are Ba at (0.000, 0.000, 0.163), Eu at (0.500, 0.500, 0.500) and As at (0.500, 0.500, 0.000).



# 3
The following is a DFT calculation (PBE-GGA) of a relaxed structure of BaEuAs.

For the energy relative to the elements, the calculation gives -2.357 eV per formula unit. As for the total energy: -6.401 eV/atom. The relative energy among the computed polymorphs is 53 meV/atom. Its total moment is 7.8 μB/f.u.

It has space group P3m1 (No. 156), with a = 5.0793 Å, b = 5.0793 Å, c = 4.9679 Å, α = 90.00°, β = 90.00° and γ = 120.00°. The inequivalent atoms are Ba at (0.0000, 0.0000, 0.0000), Eu at (0.3333, 0.6667, 0.4996) and As at (0.6667, 0.3333, 0.5025).



# 4
The following is a DFT calculation (PBE-GGA) of a relaxed structure of Ba2EuAs.

For the energy relative to the elements, the calculation gives -1.967 eV per formula unit. As for the total energy: -5.184 eV/atom. The relative energy among the computed polymorphs is 32 meV/atom. Its total moment is 8.4 μB/f.u.

It has space group R-3m (No. 166, hexagonal axes), with a = 4.5880 Å, b = 4.5880 Å, c = 35.8568 Å, α = 90.00°, β = 90.00° and γ = 120.00°. The inequivalent atoms are Ba at (0.0000, 0.0000, 0.1162), Eu at (0.0000, 0.0000, 0.0000) and As at (0.0000, 0.0000, 0.5000).



Q: Among the records above, which one has the highest energy relative to the elements?
A: number 4